Compound: CaSb
Source: the Alexandria database
Functional: PBE-GGA
Structure: optimized geometry

Density ... 2368 kg/m³
Symmetry ... No. 223

Structure (POSCAR):
```
CaSb
1.0
8.7972 0.0000 0.0000
0.0000 8.7972 0.0000
0.0000 0.0000 8.7972
Ca Sb
6 6
Direct
0.0000 0.2500 0.5000
0.0000 0.7500 0.5000
0.2500 0.5000 0.0000
0.5000 0.0000 0.2500
0.5000 0.0000 0.7500
0.7500 0.5000 0.0000
0.0000 0.5000 0.2500
0.0000 0.5000 0.7500
0.2500 0.0000 0.5000
0.5000 0.2500 0.0000
0.5000 0.7500 0.0000
0.7500 0.0000 0.5000
```

---

Compound: ZnNiTeN2
Source: the Alexandria database
Functional: PBE-GGA
Structure: optimized geometry

Density ... 5232 kg/m³
ΔE to the lowest computed polymorph ... 0.4500 eV per atom
Symmetry ... No. 123

Structure (POSCAR):
```
ZnNiTeN2
1.0
3.8062 0.0000 0.0000
0.0000 3.8062 0.0000
0.0000 0.0000 6.1282
Zn Ni Te N
1 1 1 2
Direct
0.0000 0.0000 0.0000
0.5000 0.5000 0.5000
0.0000 0.0000 0.5000
0.0000 0.5000 0.0000
0.5000 0.0000 0.0000
```

---

Compound: BeSb3As
Source: the Alexandria database
Functional: PBE-GGA
Structure: optimized geometry

Density ... 4851 kg/m³
ΔE to the lowest computed polymorph ... 0.5988 eV per atom
Symmetry ... No. 221

Structure (POSCAR):
```
BeSb3As
1.0
5.3576 0.0000 0.0000
0.0000 5.3576 0.0000
0.0000 0.0000 5.3576
Be Sb As
1 3 1
Direct
0.0000 0.0000 0.0000
0.0000 0.5000 0.5000
0.5000 0.0000 0.5000
0.5000 0.5000 0.0000
0.5000 0.5000 0.5000
```

---

Calculated ΔE_f (raw), -0.191; 1.577; 1.154 eV per atom (same order as the records).
Calculated raw total energy, -3.25; -3.79; -2.99 eV per atom (same order as the records).